(1)
DFT (PBE) results for a geometry-optimized PmPrAgPb structure.

```
PmPrAgPb
1.0
5.450 0.000 0.000
2.725 4.720 0.000
2.725 1.573 4.450
Pb Pr Ag Pm
1 1 1 1
direct
0.250 0.250 0.250
0.000 0.000 0.000
0.750 0.750 0.750
0.500 0.500 0.500
```

Summary:
As for the formation energy: -1.7 eV/f.u. The final energy comes out at -0.3268 Ry per atom. Its density is 8.7 g/cm³. For the total magnetization, the calculation gives 0.660 μB per cell. The density of states at the Fermi level is 3.44 states/eV/f.u.

---

(2)
DFT (PBE) results for a geometry-optimized PmAgPtPb structure.

```
PmAgPtPb
1.0
5.037 0.000 0.000
2.519 4.362 0.000
2.519 1.454 4.113
Pb Ag Pt Pm
1 1 1 1
direct
0.500 0.500 0.500
0.250 0.250 0.250
0.750 0.750 0.750
0.000 0.000 0.000
```

Summary:
As for the formation energy: -2.0 eV/f.u. The final energy comes out at -0.3562 Ry per atom. Its density is 12.0 g/cm³. For the total magnetization, the calculation gives 0.000 μB per cell. The density of states at the Fermi level is 3.08 states/eV/f.u.

---

Copy entry 2 word for word.
DFT (PBE) results for a geometry-optimized PmAgPtPb structure.

```
PmAgPtPb
1.0
5.037 0.000 0.000
2.519 4.362 0.000
2.519 1.454 4.113
Pb Ag Pt Pm
1 1 1 1
direct
0.500 0.500 0.500
0.250 0.250 0.250
0.750 0.750 0.750
0.000 0.000 0.000
```

Summary:
As for the formation energy: -2.0 eV/f.u. The final energy comes out at -0.3562 Ry per atom. Its density is 12.0 g/cm³. For the total magnetization, the calculation gives 0.000 μB per cell. The density of states at the Fermi level is 3.08 states/eV/f.u.

---

Which of these has the lowest final energy? PmAgPtPb